# 1
12
Lattice="-0.634 4.295 0.962 -2.469 1.121 -6.634 -8.064 -4.154 2.952" Properties=species:S:1:pos:R:3 comment="PBE-GGA LaZrCo, optimized geometry" final_energy_ev_per_atom=-6.9213 e_form_ev_per_atom=-0.061 magnetic_moment_mub_per_fu=0.0 polymorph_energy_ev_per_atom=0.000 pbc="T T T"
La -1.896 0.099 -1.693
La -9.271 1.163 -1.027
La -3.925 2.736 -4.526
La -7.243 -1.474 1.807
Zr -3.952 -0.758 0.780
Zr -7.216 2.020 -3.499
Zr -5.127 -0.152 -2.702
Zr -6.041 1.414 -0.017
Co -6.922 -0.823 -0.889
Co -7.759 -0.472 -3.010
Co -3.408 1.733 0.291
Co -4.245 2.085 -1.830

---

# 2
20
Lattice="-6.279 -5.639 -3.136 8.171 -3.059 -2.219 -0.670 0.569 8.960" Properties=species:S:1:pos:R:3 comment="PBE-GGA La12ZrCo7, optimized geometry" final_energy_ev_per_atom=-5.9731 e_form_ev_per_atom=-0.102 magnetic_moment_mub_per_fu=0.0 pbc="T T T"
La 1.177 -3.111 -0.822
La 1.679 -1.535 2.562
La 2.384 -6.895 -1.397
La 4.681 -2.422 0.344
La -3.459 -5.708 3.261
La 3.529 -3.719 5.375
La -1.162 -1.235 5.002
La 0.046 -5.018 4.427
La -1.774 -2.547 1.450
La -0.457 -6.595 1.043
La -2.306 -4.410 -1.770
La 2.997 -5.582 2.155
Zr 0.000 0.000 0.000
Co 3.202 -6.932 -3.998
Co 4.989 -1.888 6.770
Co -1.979 -1.197 7.603
Co 7.327 -3.071 0.222
Co 0.611 -4.065 1.803
Co -3.767 -6.241 -3.165
Co -6.104 -5.058 3.383

---

# 3
4
Lattice="-3.442 -2.230 -2.835 -1.843 -4.434 1.342 -4.705 -0.360 1.610" Properties=species:S:1:pos:R:3 comment="PBE-GGA LaZr2Co, optimized geometry" final_energy_ev_per_atom=-6.9762 e_form_ev_per_atom=0.306 magnetic_moment_mub_per_fu=2.6 polymorph_energy_ev_per_atom=0.317 pbc="T T T"
Zr 0.000 0.000 0.000
Zr -2.497 -1.756 0.029
Co -4.995 -3.512 0.058
La -7.492 -5.268 0.087

---

# 4
4
Lattice="6.015 0.000 0.000 3.241 5.067 0.000 -4.628 -2.533 2.888" Properties=species:S:1:pos:R:3 comment="PBE-GGA LaZr2Co, optimized geometry" final_energy_ev_per_atom=-7.0102 e_form_ev_per_atom=0.272 magnetic_moment_mub_per_fu=0.0 polymorph_energy_ev_per_atom=0.283 pbc="T T T"
Zr 4.628 2.533 0.000
Zr 0.000 0.000 0.000
Co 3.007 0.000 1.444
La 1.621 2.533 1.444

---

# 5
4
Lattice="-3.906 1.160 2.929 2.223 -2.290 3.872 1.476 2.851 0.839" Properties=species:S:1:pos:R:3 comment="PBE-GGA LaZr2Co, optimized geometry" final_energy_ev_per_atom=-6.9270 e_form_ev_per_atom=0.355 magnetic_moment_mub_per_fu=0.6 polymorph_energy_ev_per_atom=0.367 pbc="T T T"
Zr 0.000 0.000 0.000
Zr -0.841 -0.565 3.400
Co -1.215 2.006 1.884
La 1.850 0.280 2.355

---

# 6
4
Lattice="-4.049 2.951 -3.531 -1.855 1.666 -5.599 -3.749 -3.013 -2.105" Properties=species:S:1:pos:R:3 comment="PBE-GGA LaZr2Co, optimized geometry" final_energy_ev_per_atom=-7.2475 e_form_ev_per_atom=0.035 magnetic_moment_mub_per_fu=0.5 polymorph_energy_ev_per_atom=0.046 pbc="T T T"
Zr -3.859 -2.618 -2.467
Zr -4.716 0.406 -5.255
La -2.413 0.401 -2.809
Co -7.239 1.203 -8.426

---

Repeat the sixth record exactly.
4
Lattice="-4.049 2.951 -3.531 -1.855 1.666 -5.599 -3.749 -3.013 -2.105" Properties=species:S:1:pos:R:3 comment="PBE-GGA LaZr2Co, optimized geometry" final_energy_ev_per_atom=-7.2475 e_form_ev_per_atom=0.035 magnetic_moment_mub_per_fu=0.5 polymorph_energy_ev_per_atom=0.046 pbc="T T T"
Zr -3.859 -2.618 -2.467
Zr -4.716 0.406 -5.255
La -2.413 0.401 -2.809
Co -7.239 1.203 -8.426